Compound: La11Er4Tm9
Source: Alexandria via LeMat-Bulk
Functional: PBE
Structure: optimized geometry

Geometry as CIF:
```
data_La11Er4Tm9
_chemical_formula_sum 'La11 Er4 Tm9'
_space_group_name_H-M_alt 'P 1'
_space_group_IT_number 1
_cell_length_a 3.684
_cell_length_b 15.481
_cell_length_c 15.481
_cell_angle_alpha 113.12
_cell_angle_beta 90.00
_cell_angle_gamma 90.00
loop_
_space_group_symop_operation_xyz
'x,y,z'
loop_
_atom_site_label
_atom_site_fract_x
_atom_site_fract_y
_atom_site_fract_z
La1 0.000 0.368 0.632
Er1 0.500 0.556 0.759
Tm1 0.500 0.069 0.214
La2 0.000 0.293 0.293
La3 0.000 0.404 0.042
La4 0.000 0.160 0.840
Tm2 0.500 0.369 0.833
Tm3 0.500 0.931 0.786
La5 0.000 0.840 0.160
Er2 0.500 0.759 0.556
La6 0.000 0.596 0.958
La7 0.000 0.958 0.596
La8 0.000 0.707 0.707
Tm4 0.500 0.631 0.167
Tm5 0.500 0.786 0.931
Er3 0.500 0.444 0.241
Tm6 0.500 0.214 0.069
La9 0.000 0.632 0.368
Er4 0.500 0.241 0.444
La10 0.000 0.042 0.404
Tm7 0.500 0.833 0.369
Tm8 0.500 0.500 0.500
La11 0.000 0.000 0.000
Tm9 0.500 0.167 0.631
```

**Energy**: -4.625 eV/atom
**Energy of formation from the pure elements**: 0.071 eV/atom